Compound: Na3Sc3VSe8
Source: Alexandria
Functional: PBE
Structure: relaxed

Lattice parameters (Å, degrees): 7.666 7.666 8.396 117.17 90.00 120.00
Each line ends with the local moment (μB).
Sites, in units of the cell vectors:
Se (0.771, 0.020, 0.291)  -0.04
Se (0.771, 0.542, 0.291)  -0.04
Na (0.000, 0.500, 0.000)  0.00
Se (0.249, 0.020, 0.291)  -0.04
Se (0.229, 0.458, 0.709)  -0.04
Na (0.000, 0.000, 0.000)  0.00
Se (0.751, 0.980, 0.709)  -0.04
Na (0.500, 0.500, 0.000)  0.00
V (0.000, 0.000, 0.500)  1.30
Se (0.229, 0.980, 0.709)  -0.04
Sc (0.500, 0.500, 0.500)  0.01
Sc (0.500, 0.000, 0.500)  0.01
Se (0.260, 0.520, 0.280)  -0.02
Se (0.740, 0.480, 0.720)  -0.02
Sc (0.000, 0.500, 0.500)  0.01

* total energy: -5.351 eV per atom
* symmetry: No. 166
* ΔE_f (raw): -1.355 eV/atom